No. 1
# CsKAsAu, relaxed, DFT PBE
# - Calculated volume: 36.07 Å³ per atom
# - Energy above the lowest structure with this stoichiometry: 57.9 kJ per mole of atoms
data_CsKAsAu
_symmetry_space_group_name_H-M 'F -4 3 m'
_symmetry_Int_Tables_number 216
_symmetry_space_group_name_Hall 'F -4 2 3'
_cell_length_a 8.325
_cell_length_b 8.325
_cell_length_c 8.325
_cell_angle_alpha 90.00
_cell_angle_beta 90.00
_cell_angle_gamma 90.00
loop_
_atom_site_label
_atom_site_fract_x
_atom_site_fract_y
_atom_site_fract_z
Cs1 0.000 0.000 0.000
K1 0.000 0.000 0.500
As1 0.250 0.250 0.750
Au1 0.250 0.250 0.250



No. 2
# CuRe3Ge5, relaxed, DFT PBE
# - Calculated volume: 19.25 Å³ per atom
# - Energy: -59.8 eV/f.u.
# - Total magnetization: 0.00 μB per atom
data_CuRe3Ge5
_symmetry_space_group_name_H-M 'P 6/m m m'
_symmetry_Int_Tables_number 191
_symmetry_space_group_name_Hall '-P 6 2'
_cell_length_a 5.1586
_cell_length_b 5.1586
_cell_length_c 7.5177
_cell_angle_alpha 90.00
_cell_angle_beta 90.00
_cell_angle_gamma 120.00
loop_
_atom_site_label
_atom_site_fract_x
_atom_site_fract_y
_atom_site_fract_z
Cu1 0.0000 0.0000 0.0000
Re1 0.0000 0.5000 0.5000
Ge1 0.0000 0.0000 0.5000
Ge2 0.3333 0.6667 0.1932



No. 3
# AcLuAs, relaxed, DFT PBE
# - Calculated volume: 30.52 Å³ per atom
# - Total magnetization: 0.00 μB per atom
# - Energy above the lowest structure with this stoichiometry: 0.0 kJ per mole of atoms
data_AcLuAs
_symmetry_space_group_name_H-M 'F -4 3 m'
_symmetry_Int_Tables_number 216
_symmetry_space_group_name_Hall 'F -4 2 3'
_cell_length_a 7.155
_cell_length_b 7.155
_cell_length_c 7.155
_cell_angle_alpha 90.00
_cell_angle_beta 90.00
_cell_angle_gamma 90.00
loop_
_atom_site_label
_atom_site_fract_x
_atom_site_fract_y
_atom_site_fract_z
Ac1 0.000 0.000 0.000
Lu1 0.000 0.000 0.500
As1 0.250 0.250 0.250



No. 4
# ZrTcNiSb, relaxed, DFT PBE
# - Calculated volume: 16.76 Å³ per atom
# - Energy: -29.5 eV/f.u.
# - Total magnetization: 0.01 μB per atom
data_ZrTcNiSb
_symmetry_space_group_name_H-M 'F -4 3 m'
_symmetry_Int_Tables_number 216
_symmetry_space_group_name_Hall 'F -4 2 3'
_cell_length_a 6.448
_cell_length_b 6.448
_cell_length_c 6.448
_cell_angle_alpha 90.00
_cell_angle_beta 90.00
_cell_angle_gamma 90.00
loop_
_atom_site_label
_atom_site_fract_x
_atom_site_fract_y
_atom_site_fract_z
Zr1 0.000 0.000 0.000
Tc1 0.250 0.250 0.250
Ni1 0.250 0.250 0.750
Sb1 0.000 0.000 0.500



No. 5
# Sr2Tb, relaxed, DFT PBE
# - Calculated volume: 55.54 Å³ per atom
# - Total magnetization: 0.12 μB per atom
# - Energy above the lowest structure with this stoichiometry: 20.8 kJ per mole of atoms
data_Sr2Tb
_symmetry_space_group_name_H-M 'F m -3 m'
_symmetry_Int_Tables_number 225
_symmetry_space_group_name_Hall '-F 4 2 3'
_cell_length_a 8.735
_cell_length_b 8.735
_cell_length_c 8.735
_cell_angle_alpha 90.00
_cell_angle_beta 90.00
_cell_angle_gamma 90.00
loop_
_atom_site_label
_atom_site_fract_x
_atom_site_fract_y
_atom_site_fract_z
Sr1 0.250 0.250 0.250
Tb1 0.000 0.000 0.000



No. 6
# LiYTlAu, relaxed, DFT PBE
# - Calculated volume: 20.71 Å³ per atom
# - Total magnetization: 0.00 μB per atom
# - Energy above the lowest structure with this stoichiometry: 0.0 kJ per mole of atoms
data_LiYTlAu
_symmetry_space_group_name_H-M 'F -4 3 m'
_symmetry_Int_Tables_number 216
_symmetry_space_group_name_Hall 'F -4 2 3'
_cell_length_a 6.919
_cell_length_b 6.919
_cell_length_c 6.919
_cell_angle_alpha 90.00
_cell_angle_beta 90.00
_cell_angle_gamma 90.00
loop_
_atom_site_label
_atom_site_fract_x
_atom_site_fract_y
_atom_site_fract_z
Li1 0.000 0.000 0.000
Y1 0.250 0.250 0.250
Tl1 0.250 0.250 0.750
Au1 0.000 0.000 0.500



No. 7
# KCuTcSe3, relaxed, DFT PBE
# - Calculated volume: 23.39 Å³ per atom
# - Total magnetization: 0.20 μB per atom
# - Energy above the lowest structure with this stoichiometry: 11.1 kJ per mole of atoms
data_KCuTcSe3
_symmetry_space_group_name_H-M 'P n m a'
_symmetry_Int_Tables_number 62
_cell_length_a 13.079
_cell_length_b 3.900
_cell_length_c 11.006
_cell_angle_alpha 90.00
_cell_angle_beta 90.00
_cell_angle_gamma 90.00
loop_
_symmetry_equiv_pos_as_xyz
'x,y,z'
'-x,-y,-z'
'-x+1/2,-y,z+1/2'
'x+1/2,y,-z+1/2'
'x+1/2,-y+1/2,-z+1/2'
'-x+1/2,y+1/2,z+1/2'
'-x,y+1/2,-z'
'x,-y+1/2,z'
loop_
_atom_site_label
_atom_site_fract_x
_atom_site_fract_y
_atom_site_fract_z
K1 0.159 0.250 0.002
Cu1 0.212 0.750 0.243
Tc1 0.015 0.750 0.659
Se1 0.037 0.750 0.206
Se2 0.091 0.250 0.526
Se3 0.190 0.750 0.757



No. 8
# ScCoAsAu, relaxed, DFT PBE
# - Calculated volume: 16.81 Å³ per atom
# - Total magnetization: 0.22 μB per atom
# - Energy above the lowest structure with this stoichiometry: 20.1 kJ per mole of atoms
data_ScCoAsAu
_symmetry_space_group_name_H-M 'F -4 3 m'
_symmetry_Int_Tables_number 216
_symmetry_space_group_name_Hall 'F -4 2 3'
_cell_length_a 6.455
_cell_length_b 6.455
_cell_length_c 6.455
_cell_angle_alpha 90.00
_cell_angle_beta 90.00
_cell_angle_gamma 90.00
loop_
_atom_site_label
_atom_site_fract_x
_atom_site_fract_y
_atom_site_fract_z
Sc1 0.000 0.000 0.000
Co1 0.250 0.250 0.250
As1 0.250 0.250 0.750
Au1 0.000 0.000 0.500